Entry 1:
## Ba2Ir3O8 (GGA-PBE)

Data for an optimized crystal structure of Ba2Ir3O8.

Lattice parameters (Å, degrees): 5.522 6.523 6.861 118.38 107.98 90.00
Atoms (fractional coordinates):
Ba  0.673  0.716  0.433
Ba  0.327  0.284  0.567
Ir  0.500  0.000  0.000
Ir  0.000  0.254  0.000
Ir  0.000  0.746  0.000
O  0.028  0.405  0.810
O  0.972  0.595  0.190
O  0.095  0.914  0.828
O  0.905  0.086  0.172
O  0.380  0.875  0.179
O  0.380  0.304  0.179
O  0.620  0.696  0.821
O  0.620  0.125  0.821

Calculated values
space group = No. 12
crystal system = monoclinic
electronic total energy = -88.21 eV per cell

Entry 2:
## Ba7Ir6O19 (GGA-PBE)

Data for an optimized crystal structure of Ba7Ir6O19.

Lattice parameters (Å, degrees): 8.062 8.062 11.182 81.61 81.61 42.38
Atoms (fractional coordinates):
Ba  0.500  0.500  0.500
Ba  0.855  0.855  0.945
Ba  0.145  0.145  0.055
Ba  0.573  0.573  0.838
Ba  0.427  0.427  0.162
Ba  0.804  0.804  0.590
Ba  0.196  0.196  0.410
Ir  0.182  0.182  0.735
Ir  0.818  0.818  0.265
Ir  0.344  0.344  0.781
Ir  0.656  0.656  0.219
Ir  0.022  0.022  0.677
Ir  0.978  0.978  0.323
O  0.000  0.000  0.500
O  0.703  0.703  0.387
O  0.297  0.297  0.613
O  0.057  0.057  0.850
O  0.943  0.943  0.150
O  0.397  0.397  0.935
O  0.603  0.603  0.065
O  0.822  0.322  0.295
O  0.678  0.178  0.705
O  0.178  0.678  0.705
O  0.322  0.822  0.295
O  0.528  0.987  0.163
O  0.013  0.472  0.837
O  0.643  0.109  0.367
O  0.891  0.357  0.633
O  0.357  0.891  0.633
O  0.109  0.643  0.367
O  0.987  0.528  0.163
O  0.472  0.013  0.837

Calculated values
space group = No. 12
crystal system = monoclinic
electronic total energy = -213.80 eV per cell

Entry 3:
## BaIrO (GGA-PBE)

Data for an optimized crystal structure of BaIrO.

Lattice parameters (Å, degrees): 5.068 5.068 11.400 90.00 90.00 96.45
Atoms (fractional coordinates):
Ba  0.280  0.720  0.339
Ba  0.722  0.278  0.175
Ba  0.722  0.278  0.825
Ba  0.280  0.720  0.661
O  0.062  0.938  0.182
O  0.062  0.938  0.818
O  0.387  0.060  0.500
O  0.940  0.613  0.500
Ir  0.665  0.335  0.500
Ir  0.585  0.781  0.000
Ir  0.219  0.415  0.000
Ir  0.075  0.925  0.000

Calculated values
space group = No. 38
crystal system = orthorhombic
electronic total energy = -73.36 eV per cell

| no. | E_form (uncorrected) (meV per atom) |
| --- | --- |
| 1 | -1393 |
| 2 | -1655 |
| 3 | -866 |